The following is a PBE calculation of an optimized crystal structure of InFeRu2, from Alexandria.

The structure belongs to space group P4/mmm (No. 123); the cell edges are 3.062, 3.062 and 6.418 Å and the angles 90.00°, 90.00° and 90.00°. Symmetry generates all atoms from In at (0.000, 0.000, 0.000), Fe at (0.000, 0.000, 0.500) and Ru at (0.500, 0.500, 0.282).

The raw total energy is -0.2687 Ha/atom. The total moment comes out at 3.2 μB/f.u. The formation energy comes out at 0.13 eV/atom.

=====

The following is a PBE calculation of an optimized crystal structure of In3FeRu, from Alexandria.

The structure belongs to space group Pm-3m (No. 221); the cell edges are 5.107, 5.107 and 5.107 Å and the angles 90.00°, 90.00° and 90.00°. Symmetry generates all atoms from In at (0.000, 0.000, 0.500), Fe at (0.500, 0.500, 0.500) and Ru at (0.000, 0.000, 0.000).

The raw total energy is -0.1647 Ha/atom. The total moment comes out at 3.5 μB/f.u. The formation energy comes out at 0.71 eV/atom. The energy above the most stable polymorph in this dataset is 0.0000 eV/atom.

=====

The following is a PBE calculation of an optimized crystal structure of InFeRu2, from Alexandria.

The structure belongs to space group P4mm (No. 99); the cell edges are 2.827, 2.827 and 7.610 Å and the angles 90.00°, 90.00° and 90.00°. Symmetry generates all atoms from In at (0.000, 0.000, 0.000), Fe at (0.500, 0.500, 0.733), Ru at (0.000, 0.000, 0.498) and Ru at (0.500, 0.500, 0.276).

The raw total energy is -0.2658 Ha/atom. The total moment comes out at 2.8 μB/f.u. The formation energy comes out at 0.21 eV/atom.

=====

The following is a PBE calculation of an optimized crystal structure of In2FeRu, from Alexandria.

The structure belongs to space group C2/m (No. 12); the cell edges are 9.282, 4.706 and 6.474 Å and the angles 90.00°, 97.49° and 90.00°. Symmetry generates all atoms from In at (0.128, 0.000, 0.374), In at (0.233, 0.000, 0.845), Fe at (0.000, 0.246, 0.000) and Ru at (0.071, 0.500, 0.678).

The raw total energy is -0.2051 Ha/atom. The total moment comes out at 2.0 μB/f.u. The formation energy comes out at 0.22 eV/atom. The energy above the most stable polymorph in this dataset is 0.1228 eV/atom.

=====

The following is a PBE calculation of an optimized crystal structure of InFeRu2, from Alexandria.

The structure belongs to space group Pmmm (No. 47); the cell edges are 3.018, 4.388 and 4.608 Å and the angles 90.00°, 90.00° and 90.00°. Symmetry generates all atoms from In at (0.000, 0.000, 0.000), Fe at (0.500, 0.000, 0.500), Ru at (0.000, 0.500, 0.500) and Ru at (0.500, 0.500, 0.000).

The raw total energy is -0.2603 Ha/atom. The total moment comes out at 3.8 μB/f.u. The formation energy comes out at 0.35 eV/atom.

=====

The following is a PBE calculation of an optimized crystal structure of InFe2Ru, from Alexandria.

The structure belongs to space group R-3m (No. 166, hexagonal axes); the cell edges are 2.7989, 2.7989 and 26.1676 Å and the angles 90.00°, 90.00° and 120.00°. Symmetry generates all atoms from In at (0.0000, 0.0000, 0.0000), Fe at (0.0000, 0.0000, 0.2450) and Ru at (0.0000, 0.0000, 0.5000).

The raw total energy is -0.2510 Ha/atom. The total moment comes out at 4.9 μB/f.u. The formation energy comes out at 0.41 eV/atom.

=====

The following is a PBE calculation of an optimized crystal structure of In2FeRu, from Alexandria.

The structure belongs to space group Cmmm (No. 65); the cell edges are 3.315, 4.881 and 8.600 Å and the angles 90.00°, 90.00° and 90.00°. Symmetry generates all atoms from In at (0.000, 0.000, 0.249), Fe at (0.000, 0.500, 0.000) and Ru at (0.000, 0.500, 0.500).

The raw total energy is -0.1989 Ha/atom. The total moment comes out at 2.3 μB/f.u. The formation energy comes out at 0.39 eV/atom. The energy above the most stable polymorph in this dataset is 0.2892 eV/atom.

=====

The following is a PBE calculation of an optimized crystal structure of InFe2Ru, from Alexandria.

The structure belongs to space group I4/mmm (No. 139); the cell edges are 3.901, 3.901 and 7.731 Å and the angles 90.00°, 90.00° and 90.00°. Symmetry generates all atoms from In at (0.000, 0.000, 0.000), Fe at (0.000, 0.500, 0.250) and Ru at (0.000, 0.000, 0.500).

The raw total energy is -0.2569 Ha/atom. The total moment comes out at 6.2 μB/f.u. The formation energy comes out at 0.24 eV/atom.

=====

The following is a PBE calculation of an optimized crystal structure of InFe2Ru, from Alexandria.

The structure belongs to space group P4/mmm (No. 123); the cell edges are 2.784, 2.784 and 7.464 Å and the angles 90.00°, 90.00° and 90.00°. Symmetry generates all atoms from In at (0.000, 0.000, 0.000), Fe at (0.500, 0.500, 0.274) and Ru at (0.000, 0.000, 0.500).

The raw total energy is -0.2559 Ha/atom. The total moment comes out at 4.2 μB/f.u. The formation energy comes out at 0.27 eV/atom.

=====

The following is a PBE calculation of an optimized crystal structure of In2FeRu, from Alexandria.

The structure belongs to space group F-43m (No. 216); the cell edges are 6.498, 6.498 and 6.498 Å and the angles 90.00°, 90.00° and 90.00°. Symmetry generates all atoms from In at (0.000, 0.000, 0.000), In at (0.250, 0.250, 0.250), Fe at (0.250, 0.250, 0.750) and Ru at (0.000, 0.000, 0.500).

The raw total energy is -0.1991 Ha/atom. The total moment comes out at 3.5 μB/f.u. The formation energy comes out at 0.39 eV/atom. The energy above the most stable polymorph in this dataset is 0.2859 eV/atom.

=====

The following is a PBE calculation of an optimized crystal structure of ScInFe2Ru, from Alexandria.

The structure belongs to space group P4/mmm (No. 123); the cell edges are 4.663, 4.663 and 5.200 Å and the angles 90.00°, 90.00° and 90.00°. Symmetry generates all atoms from Sc at (0.000, 0.000, 0.000), In at (0.000, 0.000, 0.500), Fe at (0.000, 0.500, 0.500) and Ru at (0.500, 0.500, 0.000).

The raw total energy is -0.1989 Ha/atom. The total moment comes out at 6.4 μB/f.u. The formation energy comes out at 1.64 eV/atom.

=====

The following is a PBE calculation of an optimized crystal structure of YInFeRu2, from Alexandria.

The structure belongs to space group P4/mmm (No. 123); the cell edges are 4.864, 4.864 and 5.372 Å and the angles 90.00°, 90.00° and 90.00°. Symmetry generates all atoms from Y at (0.000, 0.000, 0.000), In at (0.000, 0.000, 0.500), Fe at (0.500, 0.500, 0.000) and Ru at (0.000, 0.500, 0.500).

The raw total energy is -0.2034 Ha/atom. The total moment comes out at 4.5 μB/f.u. The formation energy comes out at 1.71 eV/atom.

=====

The following is a PBE calculation of an optimized crystal structure of YInFe2Ru, from Alexandria.

The structure belongs to space group P4/mmm (No. 123); the cell edges are 4.698, 4.698 and 5.554 Å and the angles 90.00°, 90.00° and 90.00°. Symmetry generates all atoms from Y at (0.000, 0.000, 0.000), In at (0.000, 0.000, 0.500), Fe at (0.000, 0.500, 0.500) and Ru at (0.500, 0.500, 0.000).

The raw total energy is -0.2018 Ha/atom. The total moment comes out at 6.7 μB/f.u. The formation energy comes out at 1.59 eV/atom.

=====

The following is a PBE calculation of an optimized crystal structure of ZrInFeRu, from Alexandria.

The structure belongs to space group F-43m (No. 216); the cell edges are 6.415, 6.415 and 6.415 Å and the angles 90.00°, 90.00° and 90.00°. Symmetry generates all atoms from Zr at (0.000, 0.000, 0.000), In at (0.000, 0.000, 0.500), Fe at (0.250, 0.250, 0.250) and Ru at (0.250, 0.250, 0.750).

The raw total energy is -0.2731 Ha/atom. The total moment comes out at 0.9 μB/f.u. The formation energy comes out at -0.18 eV/atom.